[1]
Rb2MgAl | PBE | optimized geometry

Symmetry ... I-42d
DOS at the Fermi energy ... 3.59 states/eV/f.u.
ΔE_f ... 0.357 eV per atom

extended XYZ file:
```
8
Lattice="-6.990 6.990 2.673 6.990 -6.990 2.673 6.990 6.990 -2.673" Properties=species:S:1:pos:R:3 pbc="T T T"
Rb -0.837 3.495 0.668
Rb 3.495 6.153 2.005
Rb 0.837 10.486 0.668
Rb -3.495 7.828 2.005
Mg 6.990 0.000 1.336
Mg 0.000 0.000 2.673
Al 0.000 0.000 0.000
Al 0.000 6.990 1.336
```

---

[2]
KB5O8 | PBE | optimized geometry

Symmetry ... Pbca
DOS at the Fermi energy ... 0.00 states/eV/f.u.
E_form (uncorrected) ... -2.445 eV/atom

extended XYZ file:
```
112
Lattice="8.608 0.000 0.000 0.000 8.644 0.000 0.000 0.000 21.728" Properties=species:S:1:pos:R:3 pbc="T T T"
K 0.897 0.899 2.692
K 0.897 3.423 13.556
K 3.407 5.222 2.692
K 3.407 7.745 13.556
K 5.201 0.899 8.172
K 5.201 3.423 19.036
K 7.711 5.222 8.172
K 7.711 7.745 19.036
B 0.006 1.730 8.167
B 0.006 2.593 19.031
B 0.271 2.095 16.661
B 0.271 2.227 5.797
B 0.287 8.642 15.245
B 0.287 4.325 4.381
B 0.356 6.211 11.215
B 0.356 6.755 0.351
B 1.834 1.737 9.841
B 1.834 2.585 20.705
B 2.470 6.059 9.841
B 2.470 6.907 20.705
B 3.949 1.889 11.215
B 3.949 2.433 0.351
B 4.017 0.003 4.381
B 4.017 4.320 15.245
B 4.033 6.417 16.661
B 4.033 6.549 5.797
B 4.298 6.052 8.167
B 4.298 6.915 19.031
B 4.311 1.730 2.697
B 4.311 2.593 13.561
B 4.575 2.095 15.931
B 4.575 2.227 5.067
B 4.591 8.642 17.347
B 4.591 4.325 6.483
B 4.660 6.211 21.377
B 4.660 6.755 10.513
B 6.139 1.737 1.023
B 6.139 2.585 11.887
B 6.774 6.059 1.023
B 6.774 6.907 11.887
B 8.253 1.889 21.377
B 8.253 2.433 10.513
B 8.321 0.003 6.483
B 8.321 4.320 17.347
B 8.337 6.417 15.931
B 8.337 6.549 5.067
B 8.602 6.052 2.697
B 8.602 6.915 13.561
O 0.055 1.614 17.906
O 0.055 2.708 7.042
O 0.258 0.852 5.521
O 0.258 3.470 16.385
O 0.511 1.328 15.534
O 0.511 2.994 4.670
O 0.625 4.786 3.149
O 0.625 8.181 14.013
O 0.828 6.342 12.480
O 0.828 6.625 1.616
O 0.992 2.068 21.692
O 0.992 2.254 10.828
O 1.129 5.848 10.127
O 1.129 7.118 20.991
O 1.384 1.444 8.607
O 1.384 2.878 19.471
O 2.920 5.766 8.607
O 2.920 7.200 19.471
O 3.175 1.526 10.127
O 3.175 2.796 20.991
O 3.312 6.390 21.692
O 3.312 6.576 10.828
O 3.477 2.020 12.480
O 3.477 2.303 1.616
O 3.679 0.464 3.149
O 3.679 3.859 14.013
O 3.793 5.651 15.534
O 3.793 7.316 4.670
O 4.047 5.174 5.521
O 4.047 7.793 16.385
O 4.249 5.936 17.906
O 4.249 7.030 7.042
O 4.360 1.614 14.686
O 4.360 2.708 3.822
O 4.562 0.852 5.343
O 4.562 3.470 16.207
O 4.815 1.328 17.058
O 4.815 2.994 6.194
O 4.930 4.786 7.715
O 4.930 8.181 18.579
O 5.132 6.342 20.112
O 5.132 6.625 9.248
O 5.296 2.068 10.900
O 5.296 2.254 0.036
O 5.434 5.848 0.737
O 5.434 7.118 11.601
O 5.688 1.444 2.257
O 5.688 2.878 13.121
O 7.225 5.766 2.257
O 7.225 7.200 13.121
O 7.479 1.526 0.737
O 7.479 2.796 11.601
O 7.616 6.390 10.900
O 7.616 6.576 0.036
O 7.781 2.020 20.112
O 7.781 2.303 9.248
O 7.983 0.464 7.715
O 7.983 3.859 18.579
O 8.097 5.651 17.058
O 8.097 7.316 6.194
O 8.351 5.174 5.343
O 8.351 7.793 16.207
O 8.553 5.936 14.686
O 8.553 7.030 3.822
```

---

[3]
CaOs4Cl | PBE | optimized geometry

Symmetry ... F-43m
DOS at the Fermi energy ... 11.39 states/eV/f.u.
E_form (uncorrected) ... 0.929 eV/atom

extended XYZ file:
```
6
Lattice="0.000 3.770 3.770 3.770 0.000 3.770 3.770 3.770 0.000" Properties=species:S:1:pos:R:3 pbc="T T T"
Ca 0.000 0.000 0.000
Os 2.828 2.828 2.828
Os 4.711 4.711 2.828
Os 4.711 2.828 4.711
Os 2.828 4.711 4.711
Cl 5.654 5.654 5.654
```

---

[4]
Ba2NaBi3Pd4 | PBE | optimized geometry

Symmetry ... P-4m2
DOS at the Fermi energy ... 5.71 states/eV/f.u.
ΔE_f ... -0.595 eV per atom

extended XYZ file:
```
10
Lattice="4.882 0.000 0.000 0.000 4.882 0.000 0.000 0.000 11.171" Properties=species:S:1:pos:R:3 pbc="T T T"
Ba 0.000 2.441 2.699
Ba 2.441 0.000 8.473
Na 0.000 0.000 5.586
Bi 0.000 2.441 9.788
Bi 2.441 0.000 1.383
Bi 2.441 2.441 5.586
Pd 0.000 0.000 0.000
Pd 0.000 2.441 7.041
Pd 2.441 0.000 4.130
Pd 2.441 2.441 0.000
```

---

[5]
PPtBr2 | PBE | optimized geometry

Symmetry ... Pmmm
DOS at the Fermi energy ... 2.65 states/eV/f.u.
E_form (uncorrected) ... 0.728 eV/atom

extended XYZ file:
```
4
Lattice="3.221 0.000 0.000 0.000 4.270 0.000 0.000 0.000 6.138" Properties=species:S:1:pos:R:3 pbc="T T T"
P 0.000 0.000 0.000
Pt 1.610 0.000 3.069
Br 0.000 2.135 3.069
Br 1.610 2.135 0.000
```

---

[6]
YBPS2 | PBE | optimized geometry

Symmetry ... P4/mmm
DOS at the Fermi energy ... 2.03 states/eV/f.u.
E_form (uncorrected) ... -0.222 eV/atom

extended XYZ file:
```
5
Lattice="4.521 0.000 0.000 0.000 4.521 0.000 0.000 0.000 4.001" Properties=species:S:1:pos:R:3 pbc="T T T"
Y 0.000 0.000 0.000
B 2.260 2.260 2.001
P 2.260 2.260 0.000
S 0.000 2.260 2.001
S 2.260 0.000 2.001
```

---

[7]
LiHfTi2Pb | PBE | optimized geometry

Symmetry ... P4/mmm
DOS at the Fermi energy ... 5.86 states/eV/f.u.
ΔE_f ... 0.601 eV per atom

extended XYZ file:
```
5
Lattice="4.562 0.000 0.000 0.000 4.562 0.000 0.000 0.000 4.623" Properties=species:S:1:pos:R:3 pbc="T T T"
Li 0.000 0.000 0.000
Hf 2.281 2.281 2.311
Ti 0.000 2.281 0.000
Ti 2.281 0.000 0.000
Pb 0.000 0.000 2.311
```

---

[8]
LaCe4As5 | PBE | optimized geometry

Symmetry ... Immm
DOS at the Fermi energy ... 20.23 states/eV/f.u.
ΔE_f ... -1.448 eV per atom

extended XYZ file:
```
10
Lattice="-2.125 3.009 10.637 2.125 -3.009 10.637 2.125 3.009 -10.637" Properties=species:S:1:pos:R:3 pbc="T T T"
La 0.000 0.000 0.000
Ce 0.000 0.000 4.279
Ce 0.000 0.000 8.503
Ce 0.000 0.000 12.771
Ce 0.000 0.000 16.995
As 2.125 0.000 2.209
As 2.125 0.000 6.392
As 0.000 3.009 0.000
As 0.000 3.009 4.245
As 0.000 3.009 8.428
```

---

[9]
SmTm2Bi | PBE | optimized geometry

Symmetry ... R-3m
DOS at the Fermi energy ... 3.43 states/eV/f.u.
ΔE_f ... 0.039 eV per atom

extended XYZ file:
```
4
Lattice="1.770 1.022 11.938 -1.770 1.022 11.938 0.000 -2.044 11.938" Properties=species:S:1:pos:R:3 pbc="T T T"
Sm 0.000 0.000 0.000
Tm 0.000 0.000 14.777
Tm 0.000 0.000 21.037
Bi 0.000 0.000 17.907
```

---

[10]
NbHSeBr2 | PBE | optimized geometry

Symmetry ... P4/mmm
DOS at the Fermi energy ... 1.92 states/eV/f.u.

extended XYZ file:
```
5
Lattice="5.258 0.000 0.000 0.000 5.258 0.000 0.000 0.000 4.968" Properties=species:S:1:pos:R:3 pbc="T T T"
Nb 0.000 0.000 0.000
H 2.629 2.629 2.484
Se 0.000 0.000 2.484
Br 0.000 2.629 0.000
Br 2.629 0.000 0.000
```

---

[11]
LaPr3NdHo | PBE | optimized geometry

Symmetry ... P2_1/m
DOS at the Fermi energy ... 9.74 states/eV/f.u.
ΔE_f ... 0.018 eV per atom

extended XYZ file:
```
12
Lattice="8.212 0.000 0.000 0.000 5.235 0.000 -3.305 0.000 9.886" Properties=species:S:1:pos:R:3 pbc="T T T"
La 0.427 1.309 2.873
La 4.480 3.926 7.013
Pr -0.408 3.926 5.378
Pr -1.221 1.309 7.848
Pr 1.275 3.926 0.406
Pr 3.632 1.309 9.480
Pr 6.127 3.926 2.038
Pr 5.315 1.309 4.507
Nd 2.031 1.309 6.204
Nd 2.876 3.926 3.682
Ho 1.189 3.926 8.674
Ho 3.717 1.309 1.212
```

---

[12]
Pm2CCl2 | PBE | optimized geometry

Symmetry ... P2_1/c
E_form (uncorrected) ... -1.249 eV/atom

extended XYZ file:
```
20
Lattice="10.178 0.000 0.000 0.000 7.425 0.000 -0.387 0.000 6.955" Properties=species:S:1:pos:R:3 pbc="T T T"
Pm 0.795 0.658 1.420
Pm 0.601 3.054 4.898
Pm 2.757 0.107 5.479
Pm 2.950 3.606 2.001
Pm 6.840 3.819 4.954
Pm 7.034 7.318 1.476
Pm 9.189 4.370 2.057
Pm 8.996 6.766 5.535
C 0.715 0.836 5.959
C 0.909 2.876 2.481
C 8.882 4.548 4.474
C 9.076 6.588 0.997
Cl 2.195 4.930 6.505
Cl 2.389 6.207 3.027
Cl 4.030 1.132 1.030
Cl 3.837 2.580 4.508
Cl 5.954 4.845 2.447
Cl 5.761 6.292 5.925
Cl 7.402 1.218 3.928
Cl 7.595 2.495 0.450
```

---

[13]
TlPdS | PBE | optimized geometry

Symmetry ... P2_1/c
DOS at the Fermi energy ... 1.32 states/eV/f.u.
E_form (uncorrected) ... -0.228 eV/atom

extended XYZ file:
```
12
Lattice="6.923 0.000 0.000 0.000 6.330 0.000 -1.712 0.000 6.513" Properties=species:S:1:pos:R:3 pbc="T T T"
Tl 0.570 0.304 1.875
Tl -0.286 2.861 5.131
Tl 5.497 3.469 1.381
Tl 4.641 6.025 4.638
Pd 1.628 4.638 3.819
Pd 2.484 4.857 0.562
Pd 2.727 1.473 5.950
Pd 3.583 1.692 2.694
S 1.751 3.171 1.979
S 0.895 6.324 5.235
S 4.316 0.006 1.277
S 3.460 3.159 4.534
```

---

[14]
LaHoPI | PBE | optimized geometry

Symmetry ... R3m
DOS at the Fermi energy ... 1.20 states/eV/f.u.
E_form (uncorrected) ... -1.367 eV/atom

extended XYZ file:
```
4
Lattice="2.072 1.196 7.689 -2.072 1.196 7.689 0.000 -2.392 7.689" Properties=species:S:1:pos:R:3 pbc="T T T"
La 0.000 0.000 0.000
Ho 0.000 0.000 18.335
P 0.000 0.000 9.346
I 0.000 0.000 5.181
```

---

[15]
LiAl2Tc | PBE | optimized geometry

Symmetry ... I-4m2
DOS at the Fermi energy ... 0.24 states/eV/f.u.
ΔE_f ... -0.273 eV per atom

extended XYZ file:
```
4
Lattice="-1.800 1.800 4.307 1.800 -1.800 4.307 1.800 1.800 -4.307" Properties=species:S:1:pos:R:3 pbc="T T T"
Li 0.000 0.000 0.000
Al 1.800 0.000 2.153
Al 0.000 0.000 4.307
Tc 0.000 1.800 2.153
```

---

[16]
SrOs | PBE | optimized geometry

Symmetry ... Cm
DOS at the Fermi energy ... 1.82 states/eV/f.u.
ΔE_f ... 0.583 eV per atom

extended XYZ file:
```
6
Lattice="6.243 -1.963 0.000 6.243 1.963 0.000 -3.101 0.000 6.823" Properties=species:S:1:pos:R:3 pbc="T T T"
Sr 0.000 0.000 0.000
Sr -1.586 0.000 3.697
Sr 3.195 0.000 0.878
Os 1.605 0.000 4.031
Os 7.395 0.000 2.640
Os 6.808 0.000 5.174
```

---

[17]
La3SmTm2P6 | PBE | optimized geometry

Symmetry ... C2/m
DOS at the Fermi energy ... 1.15 states/eV/f.u.
ΔE_f ... -1.565 eV per atom

extended XYZ file:
```
12
Lattice="3.586 -6.211 0.000 3.586 6.211 0.000 -2.391 0.000 6.758" Properties=species:S:1:pos:R:3 pbc="T T T"
La 0.000 0.000 0.000
La 3.586 2.060 0.000
La 3.586 -2.060 0.000
Sm 2.391 0.000 3.379
Tm 2.391 4.136 3.379
Tm 2.391 -4.136 3.379
P 1.176 2.103 1.784
P -0.038 0.000 4.968
P 1.176 -2.103 1.784
P 3.605 2.103 4.974
P 4.820 0.000 1.790
P 3.605 -2.103 4.974
```

---

[18]
Sr2IrPb | PBE | optimized geometry

Symmetry ... Imm2
DOS at the Fermi energy ... 3.63 states/eV/f.u.
ΔE_f ... -0.170 eV per atom

extended XYZ file:
```
4
Lattice="-1.806 2.640 6.365 1.806 -2.640 6.365 1.806 2.640 -6.365" Properties=species:S:1:pos:R:3 pbc="T T T"
Sr 0.000 0.000 0.000
Sr 0.000 2.640 2.548
Ir 1.806 0.000 2.636
Pb 0.000 0.000 4.798
```

---

[19]
Mg2ZrHg | PBE | optimized geometry

Symmetry ... R-3m
DOS at the Fermi energy ... 3.88 states/eV/f.u.
ΔE_f ... -0.005 eV per atom

extended XYZ file:
```
4
Lattice="1.598 0.923 10.153 -1.598 0.923 10.153 0.000 -1.845 10.153" Properties=species:S:1:pos:R:3 pbc="T T T"
Mg 0.000 0.000 7.528
Mg 0.000 0.000 22.931
Zr 0.000 0.000 0.000
Hg 0.000 0.000 15.229
```

---

[20]
HoPaSe2N | PBE | optimized geometry

Symmetry ... P4/nmm
DOS at the Fermi energy ... 3.19 states/eV/f.u.
E_form (uncorrected) ... -1.798 eV/atom

extended XYZ file:
```
10
Lattice="3.930 0.000 0.000 0.000 3.930 0.000 0.000 0.000 13.901" Properties=species:S:1:pos:R:3 pbc="T T T"
Ho 0.983 0.983 1.367
Ho 2.948 2.948 12.534
Pa 0.983 0.983 8.143
Pa 2.948 2.948 5.759
Se 0.983 0.983 4.279
Se 0.983 0.983 12.341
Se 2.948 2.948 1.560
Se 2.948 2.948 9.622
N 0.983 2.948 6.951
N 2.948 0.983 6.951
```

---

In the order shown, the computed E_tot values come out to -1.46, -7.74, -7.20, -4.35, -2.97, -5.58, -5.67, -6.64, -4.35, -4.01, -4.75, -5.73, -4.12, -5.48, -5.21, -5.87, -6.64, -4.15, -3.01, -7.67 eV per atom.